Entry 1:
The following is a DFT calculation (GGA-PBE) of a geometry-optimized Ba2ReSb structure.

Calculated values
Energy   -4.81 eV/atom
Formation energy from raw total energies   0.30 eV per atom
Magnetization   0.00 μB per cell

a b c (Å): 3.879 5.447 12.321
angles (deg): 90.00 90.00 90.00
Space group Imm2 (No. 44)
Unique sites:
Ba 0.000 0.000 0.000 (multiplicity 2)
Ba 0.000 0.500 0.199 (multiplicity 2)
Re 0.000 0.500 0.752 (multiplicity 2)
Sb 0.000 0.000 0.396 (multiplicity 2)

=====

Entry 2:
The following is a DFT calculation (GGA-PBE) of a geometry-optimized NdHo structure.

Calculated values
Energy   -4.66 eV/atom
Formation energy   0.02 eV per formula unit
Magnetization   0.02 μB per cell
ΔE to the lowest computed polymorph   0.0000 eV per atom

a b c (Å): 3.6267 3.6267 34.9552
angles (deg): 90.00 90.00 120.00
Space group R-3m (No. 166, hexagonal axes)
Unique sites:
Nd 0.0000 0.0000 0.2099 (multiplicity 6)
Ho 0.0000 0.0000 0.3733 (multiplicity 6)

=====

Entry 3:
The following is a DFT calculation (GGA-PBE) of a geometry-optimized SmYHo3Sc structure.

Calculated values
Energy   -5.01 eV/atom
Formation energy   1.19 eV per formula unit
Magnetization   0.00 μB per cell

a b c (Å): 18.528 5.649 7.115
angles (deg): 90.00 90.35 90.00
Space group C2/m (No. 12)
Unique sites:
Sm 0.044 0.000 0.261 (multiplicity 4)
Y 0.149 0.500 0.044 (multiplicity 4)
Ho 0.023 0.500 0.742 (multiplicity 4)
Ho 0.167 0.000 0.744 (multiplicity 4)
Ho 0.218 0.000 0.262 (multiplicity 4)
Sc 0.148 0.500 0.462 (multiplicity 4)

=====

Entry 4:
The following is a DFT calculation (GGA-PBE) of a geometry-optimized Th2Ge6Pt21 structure.

Calculated values
Energy   -6.31 eV/atom
Formation energy   -13.58 eV per formula unit
Magnetization   0.00 μB per cell

a b c (Å): 12.588 12.588 12.588
angles (deg): 90.00 90.00 90.00
Space group Fm-3m (No. 225)
Unique sites:
Th 0.250 0.250 0.250 (multiplicity 8)
Ge 0.000 0.000 0.236 (multiplicity 24)
Pt 0.000 0.000 0.500 (multiplicity 4)
Pt 0.000 0.174 0.326 (multiplicity 48)
Pt 0.117 0.117 0.117 (multiplicity 32)

=====

Entry 5:
The following is a DFT calculation (GGA-PBE) of a geometry-optimized Li3Tb2AlCu12 structure.

Calculated values
Energy   -3.77 eV/atom
Formation energy   -0.02 eV per formula unit
Magnetization   0.00 μB per cell

a b c (Å): 8.6578 8.6578 12.4727
angles (deg): 90.00 90.00 120.00
Space group R-3m (No. 166, hexagonal axes)
Unique sites:
Li 0.0000 0.5000 0.0000 (multiplicity 9)
Tb 0.0000 0.0000 0.2173 (multiplicity 6)
Al 0.0000 0.0000 0.5000 (multiplicity 3)
Cu 0.0208 0.5104 0.2113 (multiplicity 18)
Cu 0.0495 0.5248 0.5989 (multiplicity 18)

=====

Entry 6:
The following is a DFT calculation (GGA-PBE) of a geometry-optimized Dy6CoSn3 structure.

Calculated values
Energy   -4.95 eV/atom
Formation energy   -2.77 eV per formula unit
Magnetization   0.00 μB per cell

a b c (Å): 11.679 14.444 7.224
angles (deg): 90.00 90.00 90.00
Space group Cmc2_1 (No. 36)
Unique sites:
Dy 0.000 0.009 0.000 (multiplicity 4)
Dy 0.000 0.237 0.444 (multiplicity 4)
Dy 0.149 0.245 0.911 (multiplicity 8)
Dy 0.161 0.468 0.442 (multiplicity 8)
Co 0.000 0.137 0.742 (multiplicity 4)
Sn 0.000 0.386 0.133 (multiplicity 4)
Sn 0.183 0.112 0.247 (multiplicity 8)

=====

Entry 7:
The following is a DFT calculation (GGA-PBE) of a geometry-optimized TbPr3Er6Th2 structure.

Calculated values
Energy   -5.08 eV/atom
Formation energy   0.24 eV per formula unit
Magnetization   0.00 μB per cell

a b c (Å): 6.206 10.744 11.753
angles (deg): 90.00 100.15 90.00
Space group C2/m (No. 12)
Unique sites:
Tb 0.000 0.000 0.000 (multiplicity 2)
Pr 0.000 0.166 0.500 (multiplicity 4)
Pr 0.000 0.500 0.500 (multiplicity 2)
Er 0.244 0.500 0.244 (multiplicity 4)
Er 0.250 0.169 0.244 (multiplicity 8)
Th 0.000 0.333 0.000 (multiplicity 4)

=====

Entry 8:
The following is a DFT calculation (GGA-PBE) of a geometry-optimized MnTc2Pd2 structure.

Calculated values
Energy   -7.63 eV/atom
Formation energy   2.16 eV per formula unit
Magnetization   0.00 μB per cell
ΔE to the lowest computed polymorph   0.0000 eV per atom

a b c (Å): 6.015 6.015 4.232
angles (deg): 90.00 90.00 90.00
Space group P4/mbm (No. 127)
Unique sites:
Mn 0.000 0.000 0.000 (multiplicity 2)
Tc 0.140 0.360 0.000 (multiplicity 4)
Pd 0.165 0.665 0.500 (multiplicity 4)

=====

Entry 9:
The following is a DFT calculation (GGA-PBE) of a geometry-optimized GdPuTh2 structure.

Calculated values
Energy   -10.63 eV/atom
Formation energy   0.73 eV per formula unit
Magnetization   2.02 μB per cell
ΔE to the lowest computed polymorph   0.0724 eV per atom

a b c (Å): 7.829 7.829 7.829
angles (deg): 90.00 90.00 90.00
Space group Fm-3m (No. 225)
Unique sites:
Gd 0.000 0.000 0.000 (multiplicity 4)
Pu 0.000 0.000 0.500 (multiplicity 4)
Th 0.250 0.250 0.250 (multiplicity 8)

=====

Entry 10:
The following is a DFT calculation (GGA-PBE) of a geometry-optimized Ag5I4Br structure.

Calculated values
Energy   -2.48 eV/atom
Formation energy from raw total energies   -0.27 eV per atom
Magnetization   0.00 μB per cell

a b c (Å): 4.6458 4.6458 37.8426
angles (deg): 90.00 90.00 120.00
Space group P3m1 (No. 156)
Unique sites:
Ag 0.0000 0.0000 0.0000 (multiplicity 1)
Ag 0.0000 0.0000 0.1941 (multiplicity 1)
Ag 0.0000 0.0000 0.3881 (multiplicity 1)
Ag 0.0000 0.0000 0.5919 (multiplicity 1)
Ag 0.0000 0.0000 0.7959 (multiplicity 1)
Ag 0.6667 0.3333 0.1008 (multiplicity 1)
Ag 0.6667 0.3333 0.2946 (multiplicity 1)
Ag 0.6667 0.3333 0.4898 (multiplicity 1)
Ag 0.6667 0.3333 0.6939 (multiplicity 1)
Ag 0.6667 0.3333 0.8979 (multiplicity 1)
I 0.0000 0.0000 0.0757 (multiplicity 1)
I 0.0000 0.0000 0.2696 (multiplicity 1)
I 0.0000 0.0000 0.4636 (multiplicity 1)
I 0.0000 0.0000 0.6676 (multiplicity 1)
I 0.0000 0.0000 0.8716 (multiplicity 1)
I 0.6667 0.3333 0.5656 (multiplicity 1)
I 0.6667 0.3333 0.7696 (multiplicity 1)
I 0.6667 0.3333 0.9736 (multiplicity 1)
Br 0.6667 0.3333 0.1735 (multiplicity 1)
Br 0.6667 0.3333 0.3675 (multiplicity 1)

=====

Entry 11:
The following is a DFT calculation (GGA-PBE) of a geometry-optimized ZnFeW structure.

Calculated values
Energy   -7.38 eV/atom
Formation energy   0.56 eV per formula unit
Magnetization   1.18 μB per cell
ΔE to the lowest computed polymorph   0.0409 eV per atom

a b c (Å): 4.2422 4.2422 2.6247
angles (deg): 90.00 90.00 120.00
Space group P3m1 (No. 156)
Unique sites:
Zn 0.0000 0.0000 0.0000 (multiplicity 1)
Fe 0.6667 0.3333 0.2574 (multiplicity 1)
W 0.3333 0.6667 0.5404 (multiplicity 1)

=====

Entry 12:
The following is a DFT calculation (GGA-PBE) of a geometry-optimized Pu8Ir5Ru structure.

Calculated values
Energy   -12.40 eV/atom
Formation energy   -5.43 eV per formula unit
Magnetization   78.51 μB per cell

a b c (Å): 8.455 8.455 8.531
angles (deg): 90.00 90.00 90.00
Space group I-4 (No. 82)
Unique sites:
Pu 0.070 0.183 0.303 (multiplicity 8)
Pu 0.071 0.320 0.943 (multiplicity 8)
Ir 0.000 0.000 0.000 (multiplicity 2)
Ir 0.123 0.249 0.624 (multiplicity 8)
Ru 0.000 0.500 0.250 (multiplicity 2)

=====

Entry 13:
The following is a DFT calculation (GGA-PBE) of a geometry-optimized AcCdCu2O5 structure.

Calculated values
Energy   -5.60 eV/atom
Formation energy from raw total energies   -1.38 eV per atom
Magnetization   0.00 μB per cell

a b c (Å): 3.895 3.895 7.191
angles (deg): 90.00 90.00 90.00
Space group P4/mmm (No. 123)
Unique sites:
Ac 0.000 0.000 0.000 (multiplicity 1)
Cd 0.000 0.000 0.500 (multiplicity 1)
Cu 0.500 0.500 0.284 (multiplicity 2)
O 0.000 0.500 0.283 (multiplicity 4)
O 0.500 0.500 0.000 (multiplicity 1)

=====

Entry 14:
The following is a DFT calculation (GGA-PBE) of a geometry-optimized LiZnRe2 structure.

Calculated values
Energy   -6.46 eV/atom
Formation energy   2.26 eV per formula unit
Magnetization   0.00 μB per cell

a b c (Å): 3.614 3.614 18.919
angles (deg): 90.00 90.00 90.00
Space group I-42d (No. 122)
Unique sites:
Li 0.000 0.000 0.000 (multiplicity 4)
Zn 0.000 0.000 0.500 (multiplicity 4)
Re 0.239 0.250 0.125 (multiplicity 8)

=====

Entry 15:
The following is a DFT calculation (GGA-PBE) of a geometry-optimized KLiY structure.

Calculated values
Energy   -2.81 eV/atom
Formation energy   1.06 eV per formula unit
Magnetization   0.84 μB per cell
ΔE to the lowest computed polymorph   0.0330 eV per atom

a b c (Å): 3.567 3.567 17.284
angles (deg): 90.00 90.00 90.00
Space group I4mm (No. 107)
Unique sites:
K 0.000 0.000 0.000 (multiplicity 2)
Li 0.000 0.000 0.327 (multiplicity 2)
Y 0.000 0.000 0.700 (multiplicity 2)

=====

Entry 16:
The following is a DFT calculation (GGA-PBE) of a geometry-optimized Pm4Sm5Pu structure.

Calculated values
Energy   -5.42 eV/atom
Formation energy   2.73 eV per formula unit
Magnetization   11.46 μB per cell

a b c (Å): 17.765 4.965 8.796
angles (deg): 90.00 114.57 90.00
Space group C2/m (No. 12)
Unique sites:
Pm 0.031 0.000 0.274 (multiplicity 4)
Pm 0.176 0.500 0.424 (multiplicity 4)
Sm 0.000 0.500 0.000 (multiplicity 2)
Sm 0.156 0.000 0.698 (multiplicity 4)
Sm 0.181 0.000 0.115 (multiplicity 4)
Pu 0.000 0.500 0.500 (multiplicity 2)

=====

Entry 17:
The following is a DFT calculation (GGA-PBE) of a geometry-optimized LaPrSeI structure.

Calculated values
Energy   -4.96 eV/atom
Formation energy from raw total energies   -1.27 eV per atom
Magnetization   0.00 μB per cell
ΔE to the lowest computed polymorph   0.1561 eV per atom

a b c (Å): 7.638 7.638 7.638
angles (deg): 90.00 90.00 90.00
Space group F-43m (No. 216)
Unique sites:
La 0.000 0.000 0.000 (multiplicity 4)
Pr 0.000 0.000 0.500 (multiplicity 4)
Se 0.250 0.250 0.750 (multiplicity 4)
I 0.250 0.250 0.250 (multiplicity 4)

=====

Entry 18:
The following is a DFT calculation (GGA-PBE) of a geometry-optimized Rb2Ba2NpO6 structure.

Calculated values
Energy   -6.89 eV/atom
Formation energy from raw total energies   -2.48 eV per atom
Magnetization   2.00 μB per cell

a b c (Å): 6.726 11.254 6.946
angles (deg): 90.00 105.62 90.00
Space group C2/m (No. 12)
Unique sites:
Rb 0.000 0.159 0.000 (multiplicity 4)
Ba 0.000 0.338 0.500 (multiplicity 4)
Np 0.000 0.000 0.500 (multiplicity 2)
O 0.179 0.137 0.668 (multiplicity 8)
O 0.203 0.000 0.319 (multiplicity 4)

=====

Entry 19:
The following is a DFT calculation (GGA-PBE) of a geometry-optimized CaCuAu2 structure.

Calculated values
Energy   -3.53 eV/atom
Formation energy   -1.48 eV per formula unit
Magnetization   0.00 μB per cell
ΔE to the lowest computed polymorph   0.1369 eV per atom

a b c (Å): 6.790 6.790 6.790
angles (deg): 90.00 90.00 90.00
Space group Fm-3m (No. 225)
Unique sites:
Ca 0.000 0.000 0.000 (multiplicity 4)
Cu 0.000 0.000 0.500 (multiplicity 4)
Au 0.250 0.250 0.250 (multiplicity 8)

=====

Entry 20:
The following is a DFT calculation (GGA-PBE) of a geometry-optimized Na3ZnCd4 structure.

Calculated values
Energy   -1.16 eV/atom
Formation energy   -0.42 eV per formula unit
Magnetization   0.00 μB per cell

a b c (Å): 14.063 9.829 5.723
angles (deg): 90.00 90.00 90.00
Space group Pnma (No. 62)
Unique sites:
Na 0.083 0.250 0.082 (multiplicity 4)
Na 0.189 0.544 0.276 (multiplicity 8)
Zn 0.164 0.250 0.589 (multiplicity 4)
Cd 0.030 0.750 0.442 (multiplicity 4)
Cd 0.060 0.502 0.763 (multiplicity 8)
Cd 0.187 0.750 0.788 (multiplicity 4)

=====

Entry 21:
The following is a DFT calculation (GGA-PBE) of a geometry-optimized Ho5Tm6Th structure.

Calculated values
Energy   -4.73 eV/atom
Formation energy   0.34 eV per formula unit
Magnetization   0.00 μB per cell

a b c (Å): 4.970 9.919 14.938
angles (deg): 90.00 90.00 90.00
Space group Immm (No. 71)
Unique sites:
Ho 0.000 0.000 0.000 (multiplicity 2)
Ho 0.000 0.000 0.334 (multiplicity 4)
Ho 0.000 0.500 0.333 (multiplicity 4)
Tm 0.000 0.248 0.500 (multiplicity 4)
Tm 0.000 0.251 0.165 (multiplicity 8)
Th 0.000 0.500 0.000 (multiplicity 2)